Below is a geometry-optimized LiPr2Si3 structure, with properties calculated at the GGA-PBE level.

Values from the calculation:
D(E_F)   2.08 states/eV/f.u.
Uncorrected formation energy   -0.66 eV per atom
Space-group type   Fmmm (69)
Total energy   -31.73 eV per formula unit

Lattice parameters (Å, degrees): 5.9378 5.9378 8.3486 110.97 110.97 89.63
Atoms (fractional coordinates):
Pr1 0.2437 0.2437 0.0000
Pr2 0.2500 0.7500 0.5000
Pr3 0.7563 0.7563 0.0000
Pr4 0.7500 0.2500 0.5000
Si1 0.1672 0.6672 0.8344
Si2 0.6672 0.1672 0.8344
Si3 0.1654 0.1654 0.3308
Si4 0.8346 0.8346 0.6692
Si5 0.8328 0.3328 0.1656
Si6 0.3328 0.8328 0.1656
Li1 0.6658 0.6658 0.3317
Li2 0.3342 0.3342 0.6683



Below is a geometry-optimized CaZnGa3 structure, with properties calculated at the GGA-PBE level.

Values from the calculation:
D(E_F)   6.15 states/eV/f.u.
Space-group type   Pm-3m (221)
DFT formation energy   826 meV per atom
Total energy   -8.22 eV per formula unit

Lattice parameters (Å, degrees): 5.6836 5.6836 5.6836 90.00 90.00 90.00
Atoms (fractional coordinates):
Ga1 0.5000 0.0000 0.0000
Ga2 0.0000 0.5000 0.0000
Ga3 0.0000 0.0000 0.5000
Ca1 0.0000 0.0000 0.0000
Zn1 0.5000 0.5000 0.5000



Below is a geometry-optimized Er4CuNi2 structure, with properties calculated at the GGA-PBE level.

Values from the calculation:
D(E_F)   6.29 states/eV/f.u.
Space-group type   I4_1/amd (141)
DFT formation energy   -169 meV per atom
Total energy   -35.09 eV per formula unit

Lattice parameters (Å, degrees): 7.5270 7.5270 7.5316 109.40 109.37 109.62
Atoms (fractional coordinates):
Er1 0.3861 0.0766 0.3097
Er2 0.7669 0.0763 0.6903
Er3 0.4832 0.6738 0.8098
Er4 0.3266 0.1360 0.8097
Er5 0.9233 0.6140 0.6902
Er6 0.9238 0.2331 0.3098
Er7 0.3263 0.5169 0.1903
Er8 0.8640 0.6733 0.1902
Ni1 0.6250 0.3750 0.2499
Ni2 0.6251 0.8750 0.2501
Ni3 0.6250 0.3750 0.7499
Ni4 0.1250 0.3751 0.7500
Cu1 0.0002 0.0002 0.0000
Cu2 0.2496 0.7496 0.5000



Below is a geometry-optimized NaIn5Pd structure, with properties calculated at the GGA-PBE level.

Values from the calculation:
D(E_F)   1.72 states/eV/f.u.
Space-group type   P4/mmm (123)
DFT formation energy   -219 meV per atom
Total energy   -21.74 eV per formula unit

Lattice parameters (Å, degrees): 4.7071 4.7071 7.6672 90.00 90.00 90.00
Atoms (fractional coordinates):
Pd1 0.0000 0.0000 0.5000
Na1 0.0000 0.0000 0.0000
In1 0.5000 0.5000 0.0000
In2 0.0000 0.5000 0.7051
In3 0.0000 0.5000 0.2949
In4 0.5000 0.0000 0.2949
In5 0.5000 0.0000 0.7051



Below is a geometry-optimized CaPm2AlN structure, with properties calculated at the GGA-PBE level.

Values from the calculation:
D(E_F)   2.09 states/eV/f.u.
Uncorrected formation energy   -0.73 eV per atom
Space-group type   P4/mmm (123)
Total energy   -27.22 eV per formula unit

Lattice parameters (Å, degrees): 4.8326 4.9786 4.9786 90.00 90.00 90.00
Atoms (fractional coordinates):
Pm1 0.0000 0.0000 0.5000
Pm2 0.0000 0.5000 0.0000
Ca1 0.5000 0.0000 0.0000
N1 0.0000 0.0000 0.0000
Al1 0.5000 0.5000 0.5000



Below is a geometry-optimized SmPuSnAu structure, with properties calculated at the GGA-PBE level.

Values from the calculation:
D(E_F)   10.73 states/eV/f.u.
Space-group type   F-43m (216)
DFT formation energy   -521 meV per atom
Total energy   -28.41 eV per formula unit

Lattice parameters (Å, degrees): 5.3041 5.3041 5.3041 60.00 60.00 60.00
Atoms (fractional coordinates):
Au1 0.7500 0.7500 0.7500
Pu1 0.0000 0.0000 0.0000
Sm1 0.5000 0.5000 0.5000
Sn1 0.2500 0.2500 0.2500